Sr2Ni2Ge3 | PBE | optimized geometry

Calculated total energy ... -4.490 eV per atom
Magnetization ... 0.00 μB/f.u.
Calculated formation energy ... -0.379 eV per atom

Cell lengths 4.485, 18.280, 6.957 Å; angles 90.00, 90.00, 90.00 degrees
Space group Cmcm (No. 63)
Asymmetric unit:
Sr (0.000, 0.059, 0.250) (multiplicity 4)
Sr (0.000, 0.159, 0.750) (multiplicity 4)
Ni (0.000, 0.306, 0.562) (multiplicity 8)
Ge (0.000, 0.229, 0.250) (multiplicity 4)
Ge (0.000, 0.436, 0.069) (multiplicity 8)